Entry A
This record from the Open Quantum Materials Database describes a relaxed LiDyNi crystal. The functional is GGA-PBE.

Unit cell a=6.259 b=6.259 c=6.259 alpha=90.00 beta=90.00 gamma=90.00
Atoms (fractional coordinates):
Li 0.000 0.000 0.000
Li 0.000 0.500 0.500
Li 0.500 0.000 0.500
Li 0.500 0.500 0.000
Dy 0.000 0.000 0.500
Dy 0.000 0.500 0.000
Dy 0.500 0.000 0.000
Dy 0.500 0.500 0.500
Ni 0.250 0.250 0.750
Ni 0.250 0.750 0.250
Ni 0.750 0.250 0.250
Ni 0.750 0.750 0.750

---

Entry B
This record from the Open Quantum Materials Database describes a relaxed LiDyNi crystal. The functional is GGA-PBE.

Unit cell a=6.274 b=6.274 c=6.274 alpha=90.00 beta=90.00 gamma=90.00
Atoms (fractional coordinates):
Li 0.000 0.000 0.000
Li 0.000 0.500 0.500
Li 0.500 0.000 0.500
Li 0.500 0.500 0.000
Dy 0.250 0.250 0.250
Dy 0.250 0.750 0.750
Dy 0.750 0.250 0.750
Dy 0.750 0.750 0.250
Ni 0.000 0.000 0.500
Ni 0.000 0.500 0.000
Ni 0.500 0.000 0.000
Ni 0.500 0.500 0.500

---

Relative energies, in kJ/mol of atoms, with the most stable structure set to zero: entry A 0.0; entry B 42.3.

---

Entry A
This record from the Open Quantum Materials Database describes a relaxed LiDyPO crystal. The functional is GGA-PBE.

Unit cell a=3.754 b=3.754 c=9.387 alpha=90.00 beta=90.00 gamma=90.00
Atoms (fractional coordinates):
Li 0.250 0.750 0.000
Li 0.750 0.250 0.000
Dy 0.250 0.250 0.375
Dy 0.750 0.750 0.625
P 0.250 0.250 0.817
P 0.750 0.750 0.183
O 0.250 0.750 0.500
O 0.750 0.250 0.500

---

Entry B
This record from the Open Quantum Materials Database describes a relaxed LiDyPO crystal. The functional is GGA-PBE.

Unit cell a=3.866 b=6.296 c=5.416 alpha=90.00 beta=90.00 gamma=90.00
Atoms (fractional coordinates):
Li 0.000 0.170 0.000
Li 0.000 0.830 0.500
Dy 0.500 0.243 0.550
Dy 0.500 0.757 0.050
P 0.000 0.486 0.277
P 0.000 0.514 0.777
O 0.500 0.072 0.898
O 0.500 0.928 0.398

---

Entry C
This record from the Open Quantum Materials Database describes a relaxed LiDyPO crystal. The functional is GGA-PBE.

Unit cell a=3.475 b=7.513 c=5.667 alpha=90.00 beta=90.00 gamma=90.00
Atoms (fractional coordinates):
Li 0.000 0.080 0.000
Li 0.000 0.920 0.500
Dy 0.500 0.300 0.376
Dy 0.500 0.700 0.876
P 0.500 0.326 0.872
P 0.500 0.674 0.372
O 0.000 0.141 0.339
O 0.000 0.859 0.839

---

Relative energies, in kJ/mol of atoms, with the most stable structure set to zero: entry A 0.0; entry B 6.5; entry C 10.1.